Record 1
# GGA-PBE V2Pd5Pt4, relaxed
# Formation energy from the elements in eV per atom: -0.247
# DFT total energy in eV per atom: -6.4616
# Magnetization in μB per atom: 0.000
data_V2Pd5Pt4
_chemical_formula_sum 'V2 Pd5 Pt4'
_cell_length_a 6.937
_cell_length_b 2.734
_cell_length_c 8.934
_cell_angle_alpha 90.00
_cell_angle_beta 93.95
_cell_angle_gamma 90.00
_space_group_name_H-M_alt 'P 1 2/m 1'
_space_group_IT_number 10
loop_
_space_group_symop_operation_xyz
'x,y,z'
'-x,-y,-z'
'-x,y,-z'
'x,-y,z'
loop_
_atom_site_label
_atom_site_fract_x
_atom_site_fract_y
_atom_site_fract_z
V1 0.072 0.000 0.141
Pd1 0.175 0.000 0.656
Pd2 0.447 0.000 0.190
Pd3 0.500 0.000 0.500
Pt1 0.181 0.500 0.376
Pt2 0.246 0.500 0.937

***

Record 2
# GGA-PBE VPdPt2, relaxed
# Formation energy from the elements in eV per atom: -0.052
# DFT total energy in eV per atom: -6.6503
# Magnetization in μB per atom: 0.172
data_VPdPt2
_chemical_formula_sum 'V4 Pd4 Pt8'
_cell_length_a 7.021
_cell_length_b 7.021
_cell_length_c 5.347
_cell_angle_alpha 90.00
_cell_angle_beta 90.00
_cell_angle_gamma 90.00
_space_group_name_H-M_alt 'I -4 2 d'
_space_group_IT_number 122
_space_group_name_Hall 'I -4 2bw'
loop_
_atom_site_label
_atom_site_fract_x
_atom_site_fract_y
_atom_site_fract_z
V1 0.000 0.000 0.000
Pd1 0.000 0.000 0.500
Pt1 0.216 0.750 0.125

***

Record 3
# GGA-PBE V4PdPt3, relaxed
# Formation energy from the elements in eV per atom: -0.347
# DFT total energy in eV per atom: -7.8206
# Magnetization in μB per atom: 0.016
data_V4PdPt3
_chemical_formula_sum 'V8 Pd2 Pt6'
_cell_length_a 8.900
_cell_length_b 5.421
_cell_length_c 4.797
_cell_angle_alpha 90.00
_cell_angle_beta 90.00
_cell_angle_gamma 90.00
_space_group_name_H-M_alt 'P m n 21'
_space_group_IT_number 31
loop_
_space_group_symop_operation_xyz
'x,y,z'
'-x+1/2,-y,z+1/2'
'-x,y,z'
'x+1/2,-y,z+1/2'
loop_
_atom_site_label
_atom_site_fract_x
_atom_site_fract_y
_atom_site_fract_z
V1 0.000 0.083 0.000
V2 0.000 0.621 0.009
V3 0.245 0.138 0.324
Pd1 0.000 0.872 0.500
Pt1 0.000 0.370 0.484
Pt2 0.243 0.359 0.830

***

Record 4
# GGA-PBE VPdPt3, relaxed
# Formation energy from the elements in eV per atom: -0.262
# DFT total energy in eV per atom: -6.7492
# Excess energy over the best structure of this formula in the dataset in meV/atom: 0
# Magnetization in μB per atom: 0.000
data_VPdPt3
_chemical_formula_sum 'V4 Pd4 Pt12'
_cell_length_a 14.315
_cell_length_b 4.443
_cell_length_c 4.859
_cell_angle_alpha 90.00
_cell_angle_beta 91.94
_cell_angle_gamma 90.00
_space_group_name_H-M_alt 'C 1 m 1'
_space_group_IT_number 8
loop_
_space_group_symop_operation_xyz
'x,y,z'
'x,-y,z'
'x+1/2,y+1/2,z'
'x+1/2,-y+1/2,z'
loop_
_atom_site_label
_atom_site_fract_x
_atom_site_fract_y
_atom_site_fract_z
V1 0.000 0.000 0.000
V2 0.228 0.500 0.478
Pd1 0.007 0.500 0.675
Pd2 0.198 0.000 0.086
Pt1 0.088 0.500 0.179
Pt2 0.114 0.000 0.574
Pt3 0.304 0.500 0.978
Pt4 0.305 0.000 0.622
Pt5 0.400 0.000 0.146
Pt6 0.416 0.500 0.486

***

Record 5
# GGA-PBE VPd2Pt6, relaxed
# Formation energy from the elements in eV per atom: -0.215
# DFT total energy in eV per atom: -6.4098
# Excess energy over the best structure of this formula in the dataset in meV/atom: 0
# Magnetization in μB per atom: 0.000
data_VPd2Pt6
_chemical_formula_sum 'V2 Pd4 Pt12'
_cell_length_a 12.148
_cell_length_b 2.780
_cell_length_c 8.353
_cell_angle_alpha 90.00
_cell_angle_beta 103.03
_cell_angle_gamma 90.00
_space_group_name_H-M_alt 'C 1 2/m 1'
_space_group_IT_number 12
loop_
_space_group_symop_operation_xyz
'x,y,z'
'-x,-y,-z'
'-x,y,-z'
'x,-y,z'
'x+1/2,y+1/2,z'
'-x+1/2,-y+1/2,-z'
'-x+1/2,y+1/2,-z'
'x+1/2,-y+1/2,z'
loop_
_atom_site_label
_atom_site_fract_x
_atom_site_fract_y
_atom_site_fract_z
V1 0.000 0.000 0.000
Pd1 0.161 0.500 0.217
Pt1 0.003 0.000 0.676
Pt2 0.162 0.500 0.895
Pt3 0.166 0.500 0.554

***

Record 6
# GGA-PBE V2Pd5Pt, relaxed
# Formation energy from the elements in eV per atom: -0.276
# DFT total energy in eV per atom: -6.5564
# Magnetization in μB per atom: 0.305
data_V2Pd5Pt
_chemical_formula_sum 'V4 Pd10 Pt2'
_cell_length_a 5.527
_cell_length_b 11.052
_cell_length_c 3.898
_cell_angle_alpha 90.00
_cell_angle_beta 90.00
_cell_angle_gamma 90.00
_space_group_name_H-M_alt 'P b a m'
_space_group_IT_number 55
loop_
_space_group_symop_operation_xyz
'x,y,z'
'-x,-y,-z'
'-x,-y,z'
'x,y,-z'
'x+1/2,-y+1/2,-z'
'-x+1/2,y+1/2,z'
'-x+1/2,y+1/2,-z'
'x+1/2,-y+1/2,z'
loop_
_atom_site_label
_atom_site_fract_x
_atom_site_fract_y
_atom_site_fract_z
V1 0.241 0.123 0.000
Pd1 0.000 0.500 0.500
Pd2 0.004 0.751 0.500
Pd3 0.245 0.374 0.000
Pt1 0.000 0.000 0.500

***

Record 7
# GGA-PBE V4Pd6Pt7, relaxed
# Formation energy from the elements in eV per atom: 0.045
# DFT total energy in eV per atom: -6.4208
# Magnetization in μB per atom: 0.447
data_V4Pd6Pt7
_chemical_formula_sum 'V8 Pd12 Pt14'
_cell_length_a 8.219
_cell_length_b 8.219
_cell_length_c 8.219
_cell_angle_alpha 90.00
_cell_angle_beta 90.00
_cell_angle_gamma 90.00
_space_group_name_H-M_alt 'I m -3 m'
_space_group_IT_number 229
_space_group_name_Hall '-I 4 2 3'
loop_
_atom_site_label
_atom_site_fract_x
_atom_site_fract_y
_atom_site_fract_z
V1 0.250 0.250 0.250
Pd1 0.000 0.000 0.298
Pt1 0.000 0.000 0.000
Pt2 0.000 0.250 0.500

***

Record 8
# GGA-PBE V2PdPt, relaxed
# Formation energy from the elements in eV per atom: -0.383
# DFT total energy in eV per atom: -7.7503
# Magnetization in μB per atom: 0.000
data_V2PdPt
_chemical_formula_sum 'V4 Pd2 Pt2'
_cell_length_a 5.394
_cell_length_b 7.812
_cell_length_c 2.709
_cell_angle_alpha 90.00
_cell_angle_beta 90.00
_cell_angle_gamma 90.00
_space_group_name_H-M_alt 'C m m m'
_space_group_IT_number 65
_space_group_name_Hall '-C 2 2'
loop_
_atom_site_label
_atom_site_fract_x
_atom_site_fract_y
_atom_site_fract_z
V1 0.250 0.250 0.000
Pd1 0.000 0.000 0.500
Pt1 0.000 0.500 0.500